(1)
Material: Mg2Ga4Cu3
Method: DFT, PBE-GGA
State: relaxed

abc: 5.1135 5.1135 6.7771
angles: 101.35 101.35 118.57
With the nearest neighbours (Å) after each atom.
Fractional positions:
Mg 0.6206 0.6206 0.2412  6 Cu 2.97-3.02, 8 Ga 2.98-3.04, 1 Mg 3.02
Mg 0.3794 0.3794 0.7588  6 Cu 2.97-3.02, 8 Ga 2.98-3.04, 1 Mg 3.02
Ga 0.9918 0.6694 0.6612  3 Cu 2.55-2.61, 2 Ga 2.55-2.83
Ga 0.6694 0.9918 0.6612  3 Cu 2.55-2.61, 2 Ga 2.55-2.83
Ga 0.0082 0.3306 0.3388  3 Cu 2.55-2.61, 2 Ga 2.55-2.83
Ga 0.3306 0.0082 0.3388  3 Cu 2.55-2.61, 2 Ga 2.55-2.83
Cu 0.5000 0.0000 0.0000  4 Cu 2.56-2.61, 4 Ga 2.61
Cu 0.0000 0.0000 0.0000  4 Ga 2.55, 4 Cu 2.56
Cu 0.0000 0.5000 0.0000  4 Cu 2.56-2.61, 4 Ga 2.61

Results
space-group type = Fmmm, No. 69
uncorrected energy = -29.01 eV for the cell shown
Fermi-level density of states = 2.5 states/eV per cell
ΔH_f (0 K) = -0.16 eV per atom


(2)
Material: MgGaCu
Method: DFT, PBE-GGA
State: relaxed

abc: 5.0990 5.0990 5.0990
angles: 92.58 117.34 119.72
With the nearest neighbours (Å) after each atom.
Fractional positions:
Mg 0.2500 0.1195 0.8695  6 Cu 2.90-3.08, 6 Ga 2.99-3.00, 4 Mg 3.14-3.15
Mg 0.7500 0.8805 0.1305  6 Cu 2.90-3.08, 6 Ga 2.99-3.00, 4 Mg 3.14-3.15
Ga 0.5000 0.5000 0.5000  4 Cu 2.55, 2 Ga 2.65
Ga 0.0000 0.5000 0.0000  4 Cu 2.55, 2 Ga 2.65
Cu 0.0000 0.5000 0.5000  4 Ga 2.55, 2 Cu 2.56
Cu 0.5000 0.0000 0.5000  4 Ga 2.55, 2 Cu 2.56

Results
space-group type = Imma, No. 74
uncorrected energy = -18.57 eV for the cell shown
Fermi-level density of states = 1.7 states/eV per cell
ΔH_f (0 K) = -0.19 eV per atom


(3)
Material: Mg6GaCu
Method: DFT, PBE-GGA
State: relaxed

abc: 5.9891 5.9891 4.9558
angles: 90.00 90.00 116.40
With the nearest neighbours (Å) after each atom.
Fractional positions:
Mg 0.6448 0.8423 0.0000  2 Ga 2.96, 8 Mg 2.98-3.24, 2 Cu 2.98-3.01
Mg 0.1577 0.3552 0.0000  2 Ga 2.96, 8 Mg 2.98-3.24, 2 Cu 2.98-3.01
Mg 0.6559 0.3441 0.0000  10 Mg 2.98-3.13, 2 Cu 3.16
Mg 0.8652 0.6641 0.5000  2 Cu 2.93, 2 Ga 2.94-3.05, 7 Mg 2.97-3.21
Mg 0.3359 0.1348 0.5000  2 Cu 2.93, 2 Ga 2.94-3.05, 7 Mg 2.97-3.21
Mg 0.8430 0.1570 0.5000  10 Mg 2.98-3.13, 2 Ga 3.16
Ga 0.3500 0.6500 0.5000  10 Mg 2.94-3.16, 2 Cu 3.22
Cu 0.1475 0.8525 0.0000  10 Mg 2.93-3.16, 2 Ga 3.22

Results
space-group type = Amm2, No. 38
uncorrected energy = -16.79 eV for the cell shown
Fermi-level density of states = 2.4 states/eV per cell
ΔH_f (0 K) = -0.01 eV per atom
E above lowest polymorph = 37 meV per atom